Record 1
Here is a relaxed Nd2Hg3 crystal from Alexandria via LeMat-Bulk. Energies are from PBE.

Values from the calculation:
Calculated density   9.95 g/cm³
Formation energy from the elements   -0.285 eV per atom

a = 6.4000 Å, b = 7.2275 Å, c = 8.0335 Å
α = 116.73°, β = 113.47°, γ = 90.00°
Element x y z (fractional)
Nd 0.1579 0.4220 0.3159
Nd 0.6579 0.8938 0.3159
Hg 0.1014 0.7807 0.2027
Hg 0.6014 0.4220 0.2027
Hg 0.2500 0.0000 0.0000
Nd 0.3421 0.1062 0.6841
Nd 0.8421 0.5780 0.6841
Hg 0.7500 0.0000 0.0000
Hg 0.3986 0.5780 0.7973
Hg 0.8986 0.2193 0.7973

***

Record 2
Here is a relaxed Nd5Hg3 crystal from Alexandria via LeMat-Bulk. Energies are from PBE.

Values from the calculation:
Calculated density   9.11 g/cm³
Formation energy from the elements   -0.344 eV per atom

a = 3.8168 Å, b = 3.8168 Å, c = 16.5484 Å
α = 90.00°, β = 90.00°, γ = 90.00°
Each line ends with the local moment (μB).
Element x y z (fractional)
Nd 0.5000 0.5000 0.3830  0.10
Nd 0.5000 0.5000 0.6170  0.10
Hg 0.5000 0.5000 0.8802  0.01
Hg 0.5000 0.5000 0.1198  0.01
Nd 0.0000 0.0000 0.2321  0.11
Nd 0.0000 0.0000 0.0000  0.25
Nd 0.0000 0.0000 0.7679  0.11
Hg 0.0000 0.0000 0.5000  -0.01

***

Record 3
Here is a relaxed Nd5Hg7 crystal from Alexandria via LeMat-Bulk. Energies are from PBE.

Values from the calculation:
Calculated density   10.18 g/cm³
Formation energy from the elements   -0.381 eV per atom

a = 5.1887 Å, b = 5.1939 Å, c = 15.1411 Å
α = 90.06°, β = 99.72°, γ = 119.99°
Element x y z (fractional)
Hg 0.8581 0.9295 0.7872
Hg 0.3888 0.6944 0.0851
Hg 0.4448 0.2232 0.6688
Hg 0.5552 0.7768 0.3312
Nd 0.2817 0.1406 0.4217
Hg 0.0000 0.5000 0.5000
Hg 0.1419 0.0705 0.2128
Nd 0.0000 0.0000 0.0000
Nd 0.7183 0.8594 0.5783
Nd 0.1985 0.5994 0.7985
Nd 0.8015 0.4006 0.2015
Hg 0.6112 0.3056 0.9149

***

Record 4
Here is a relaxed NdHg4 crystal from Alexandria via LeMat-Bulk. Energies are from PBE.

Values from the calculation:
Calculated density   6.67 g/cm³
Relative energy among the computed polymorphs   586.0 meV/atom
Formation energy from the elements   0.294 eV per atom

a = 6.1775 Å, b = 6.1775 Å, c = 6.1775 Å
α = 90.00°, β = 90.00°, γ = 90.00°
Element x y z (fractional)
Hg 0.0000 0.5000 0.5000
Hg 0.0000 0.0000 0.0000
Nd 0.5000 0.5000 0.5000
Hg 0.5000 0.5000 0.0000
Hg 0.5000 0.0000 0.5000

***

Record 5
Here is a relaxed NdHg2 crystal from Alexandria via LeMat-Bulk. Energies are from PBE.

Values from the calculation:
Calculated density   11.43 g/cm³
Formation energy from the elements   -0.448 eV per atom

a = 5.2936 Å, b = 5.2936 Å, c = 6.5292 Å
α = 90.00°, β = 90.00°, γ = 120.00°
Element x y z (fractional)
Hg 0.0000 0.5000 0.5000
Hg 0.6665 0.8335 0.2500
Hg 0.3335 0.1665 0.7500
Nd 0.3332 0.1668 0.2500
Hg 0.0000 0.5000 0.0000
Nd 0.6668 0.8332 0.7500

***

Record 6
Here is a relaxed NdHg6 crystal from Alexandria via LeMat-Bulk. Energies are from PBE.

Values from the calculation:
Calculated density   11.91 g/cm³
Relative energy among the computed polymorphs   0.0 meV/atom
Formation energy from the elements   -0.204 eV per atom

a = 5.0665 Å, b = 5.0665 Å, c = 7.3221 Å
α = 90.00°, β = 90.00°, γ = 90.00°
Element x y z (fractional)
Nd 0.0000 0.0000 0.0000
Hg 0.0000 0.5000 0.7218
Hg 0.0000 0.0000 0.5000
Hg 0.5000 0.0000 0.2782
Hg 0.5000 0.5000 0.0000
Hg 0.0000 0.5000 0.2782
Hg 0.5000 0.0000 0.7218

***

Record 7
Here is a relaxed Nd6Hg5 crystal from Alexandria via LeMat-Bulk. Energies are from PBE.

Values from the calculation:
Calculated density   9.41 g/cm³
Formation energy from the elements   -0.377 eV per atom

a = 5.3634 Å, b = 7.6866 Å, c = 9.2685 Å
α = 114.50°, β = 106.82°, γ = 90.00°
Each line ends with the local moment (μB).
Element x y z (fractional)
Hg 0.3322 0.3322 0.6643  0.01
Nd 0.8366 0.5902 0.6733  0.19
Hg 0.6680 0.1680 0.3359  0.02
Nd 0.1633 0.9170 0.3267  0.19
Hg 0.3320 0.8320 0.6641  0.02
Nd 0.5000 0.2461 0.0000  0.22
Nd 0.5000 0.7539 0.0000  0.22
Hg 0.6678 0.6678 0.3357  0.01
Nd 0.1634 0.4098 0.3267  0.19
Nd 0.8367 0.0830 0.6733  0.19
Hg 0.0000 0.5000 0.0000  0.02

***

Record 8
Here is a relaxed Nd4Hg3 crystal from Alexandria via LeMat-Bulk. Energies are from PBE.

Values from the calculation:
Calculated density   9.08 g/cm³
Relative energy among the computed polymorphs   52.4 meV/atom
Formation energy from the elements   -0.318 eV per atom

a = 5.3745 Å, b = 5.3745 Å, c = 9.1608 Å
α = 72.94°, β = 72.94°, γ = 60.00°
Each line ends with the local moment (μB).
Element x y z (fractional)
Hg 0.7493 0.7493 0.7522  0.01
Hg 0.2507 0.2507 0.2478  0.01
Nd 0.8723 0.8723 0.3832  0.18
Nd 0.3796 0.3796 0.8613  0.13
Nd 0.1277 0.1277 0.6168  0.18
Nd 0.6204 0.6204 0.1387  0.13
Hg 0.0000 0.0000 0.0000  0.01